A) ! CdTeBr2 (PBE-GGA, optimized geometry); values from VASP
! D(E_F): 1.4176 states/eV/atom
&SYSTEM
  ibrav = 0, nat = 16, ntyp = 3
/
ATOMIC_SPECIES
Cd 112.41 Cd.upf
Te 127.60 Te.upf
Br 79.90 Br.upf
ATOMIC_POSITIONS angstrom
Cd 0.000 0.000 0.000
Cd 0.000 3.767 3.767
Cd 3.767 0.000 3.767
Cd 3.767 3.767 0.000
Te 1.883 1.883 5.650
Te 1.883 5.650 1.883
Te 5.650 1.883 1.883
Te 5.650 5.650 5.650
Br 0.000 0.000 3.767
Br 0.000 3.767 0.000
Br 1.883 1.883 1.883
Br 1.883 5.650 5.650
Br 3.767 0.000 0.000
Br 3.767 3.767 3.767
Br 5.650 1.883 5.650
Br 5.650 5.650 1.883
CELL_PARAMETERS angstrom
7.533 0.000 0.000
0.000 7.533 0.000
0.000 0.000 7.533


B) ! CdTeBr2 (PBE-GGA, optimized geometry); values from VASP
! D(E_F): 0.8160 states/eV/atom
&SYSTEM
  ibrav = 0, nat = 8, ntyp = 3
/
ATOMIC_SPECIES
Cd 112.41 Cd.upf
Te 127.60 Te.upf
Br 79.90 Br.upf
ATOMIC_POSITIONS angstrom
Cd 0.000 0.000 0.000
Cd 1.776 3.571 4.855
Te 0.000 0.000 4.855
Te 1.776 3.571 0.000
Br 0.000 3.571 2.796
Br 0.000 3.571 6.914
Br 1.776 0.000 2.059
Br 1.776 0.000 7.651
CELL_PARAMETERS angstrom
3.551 0.000 0.000
0.000 7.142 0.000
0.000 0.000 9.710


C) ! CdTeBr2 (PBE-GGA, optimized geometry); values from VASP
! D(E_F): 0.2534 states/eV/atom
&SYSTEM
  ibrav = 0, nat = 8, ntyp = 3
/
ATOMIC_SPECIES
Cd 112.41 Cd.upf
Te 127.60 Te.upf
Br 79.90 Br.upf
ATOMIC_POSITIONS angstrom
Cd 0.000 0.000 0.000
Cd 7.965 1.867 0.000
Te 5.720 0.000 0.528
Te 13.686 1.867 0.528
Br 0.887 1.867 5.045
Br 5.214 1.867 2.972
Br 8.853 0.000 5.045
Br 13.179 0.000 2.972
CELL_PARAMETERS angstrom
15.931 0.000 0.000
0.000 3.733 0.000
-1.009 0.000 5.264


D) ! CdTeBr2 (PBE-GGA, optimized geometry); values from VASP
! D(E_F): 0.2303 states/eV/atom
&SYSTEM
  ibrav = 0, nat = 16, ntyp = 3
/
ATOMIC_SPECIES
Cd 112.41 Cd.upf
Te 127.60 Te.upf
Br 79.90 Br.upf
ATOMIC_POSITIONS angstrom
Cd 0.000 0.000 0.000
Cd 0.000 4.822 1.537
Cd 4.822 0.000 4.611
Cd 4.822 4.822 3.074
Te 0.000 0.000 3.074
Te 0.000 4.822 4.611
Te 4.822 0.000 1.537
Te 4.822 4.822 0.000
Br 1.211 2.411 0.768
Br 2.411 6.032 2.305
Br 2.411 8.432 5.379
Br 3.611 2.411 3.842
Br 6.032 7.232 3.842
Br 7.232 1.211 5.379
Br 7.232 3.611 2.305
Br 8.432 7.232 0.768
CELL_PARAMETERS angstrom
9.643 0.000 0.000
0.000 9.643 0.000
0.000 0.000 6.148


Most favorable structure: C). The second most favorable one is 163 meV/atom above it.


A) ! CdTeBr2 (PBE-GGA, optimized geometry); values from VASP
! D(E_F): 0.6963 states/eV/atom
&SYSTEM
  ibrav = 0, nat = 8, ntyp = 3
/
ATOMIC_SPECIES
Cd 112.41 Cd.upf
Te 127.60 Te.upf
Br 79.90 Br.upf
ATOMIC_POSITIONS angstrom
Cd 0.000 0.000 0.000
Cd 3.432 4.418 0.000
Te 0.000 4.418 0.000
Te 3.432 0.000 0.000
Br 1.716 2.209 1.786
Br 1.716 6.627 1.786
Br 5.147 2.209 1.786
Br 5.147 6.627 1.786
CELL_PARAMETERS angstrom
6.863 0.000 0.000
0.000 8.836 0.000
0.000 0.000 3.571


B) ! CdTeBr2 (PBE-GGA, optimized geometry); values from VASP
! D(E_F): 0.3998 states/eV/atom
&SYSTEM
  ibrav = 0, nat = 8, ntyp = 3
/
ATOMIC_SPECIES
Cd 112.41 Cd.upf
Te 127.60 Te.upf
Br 79.90 Br.upf
ATOMIC_POSITIONS angstrom
Cd 0.000 0.000 0.000
Cd 2.062 2.799 0.000
Te 0.000 0.000 5.885
Te 2.062 2.799 5.885
Br 0.000 2.799 1.803
Br 0.000 2.799 9.967
Br 2.062 0.000 1.803
Br 2.062 0.000 9.967
CELL_PARAMETERS angstrom
4.123 0.000 0.000
0.000 5.597 0.000
0.000 0.000 11.770


Most favorable structure: B). The second most favorable one is 349 meV/atom above it.